VASP calculation (PBE) on a relaxed structure of Cs3Np2Te6Pb.

Results
- E (eV per atom) = -5.0933
- size of the total moment (μB per formula unit) = 7.0
- formation energy without anion corrections (eV per atom) = -0.8432
- theoretical density (g/cm3) = 6.1

a = 8.1132 Å, b = 8.1132 Å, c = 9.2378 Å
α = 98.41°, β = 98.41°, γ = 119.94°
Fractional positions:
Cs1 0.1595 0.8405 0.5000
Cs2 0.5000 0.5000 0.5000
Te1 0.2882 0.2882 0.8116
Pb1 0.0000 0.0000 0.0000
Np1 0.3326 0.6674 0.0000
Te2 0.4151 0.0641 0.1916
Np2 0.6674 0.3326 0.0000
Te3 0.7118 0.7118 0.1884
Te4 0.0641 0.4151 0.1916
Te5 0.5849 0.9359 0.8084
Cs3 0.8405 0.1595 0.5000
Te6 0.9359 0.5849 0.8084